Compound: ScPaMn2
Source: Alexandria
Functional: PBE
Structure: relaxed

Output
total magnetization	1.61	μB per formula unit
DFT formation energy	23.6	meV/atom
polymorph energy (0 for the lowest one)	0.0384	eV per atom
electronic total energy	-8.52	eV/atom
symmetry	No. 123

a b c (Å): 3.2675 3.2675 6.4352
angles (deg): 90.00 90.00 90.00
Last column: nearest neighbours and their distance in Å.
Positions (direct):
Sc1 0.0000 0.0000 0.0000  8 Mn 2.92, 2 Pa 3.22, 4 Sc 3.27
Pa1 0.0000 0.0000 0.5000  8 Mn 2.72
Mn1 0.5000 0.5000 0.2778  4 Pa 2.72, 1 Mn 2.86, 4 Sc 2.92
Mn2 0.5000 0.5000 0.7222  4 Pa 2.72, 1 Mn 2.86, 4 Sc 2.92